Entry 1:
Density functional theory data (PBE) for a relaxed structure of K2Rb8Hg.

POSCAR file:
```
K2Rb8Hg
1.0
12.617 -3.719 0.000
12.617 3.719 0.000
-0.057 0.000 9.095
K Rb Hg
2 8 1
Direct
0.227 0.227 0.363
0.773 0.773 0.637
0.029 0.029 0.233
0.171 0.171 0.846
0.360 0.360 0.850
0.421 0.421 0.362
0.579 0.579 0.638
0.640 0.640 0.150
0.829 0.829 0.154
0.971 0.971 0.767
0.500 0.500 0.000
```

Results
**E_form**: -0.3 eV per formula unit
**Energy relative to the lowest polymorph listed for this composition**: 0.000 eV/atom
**Mass density**: 1.87 g/cm3
**Density of states at the Fermi level**: 0.7236 states/eV/atom
**Space group**: C2/m


Entry 2:
Density functional theory data (PBE) for a relaxed structure of TbDy2Er2In.

POSCAR file:
```
TbDy2Er2In
1.0
6.598 0.000 0.000
0.000 9.983 0.000
0.000 0.000 5.406
Tb Dy Er In
2 4 4 2
Direct
0.000 0.000 0.000
0.500 0.500 0.500
0.224 0.188 0.500
0.276 0.688 0.000
0.724 0.312 0.000
0.776 0.812 0.500
0.213 0.363 0.000
0.287 0.863 0.500
0.713 0.137 0.500
0.787 0.637 0.000
0.000 0.500 0.500
0.500 0.000 0.000
```

Results
**E_form**: -0.2 eV per formula unit
**Mass density**: 8.70 g/cm3
**Density of states at the Fermi level**: 1.1326 states/eV/atom
**Space group**: Pnnm


Entry 3:
Density functional theory data (PBE) for a relaxed structure of SbOsCl2.

POSCAR file:
```
SbOsCl2
1.0
3.052 0.000 0.000
0.000 4.452 0.000
0.000 0.000 6.061
Sb Os Cl
1 1 2
Direct
0.000 0.000 0.000
0.000 0.000 0.500
0.500 0.500 0.259
0.500 0.500 0.741
```

Results
**Energy relative to the lowest polymorph listed for this composition**: 1.048 eV/atom
**Mass density**: 7.72 g/cm3
**Density of states at the Fermi level**: 0.7595 states/eV/atom
**Space group**: Pmmm


Entry 4:
Density functional theory data (PBE) for a relaxed structure of HfZrO2F.

POSCAR file:
```
HfZrO2F
1.0
4.139 0.000 0.000
0.000 4.139 0.000
0.000 0.000 4.188
Hf Zr O F
1 1 2 1
Direct
0.000 0.000 0.000
0.500 0.500 0.500
0.000 0.500 0.000
0.500 0.000 0.000
0.000 0.000 0.500
```

Results
**Mass density**: 7.42 g/cm3
**Density of states at the Fermi level**: 0.9509 states/eV/atom
**Total DFT energy (no corrections)**: -8.130 eV/atom
**Space group**: P4/mmm


Entry 5:
Density functional theory data (PBE) for a relaxed structure of LaCeDy2S4.

POSCAR file:
```
LaCeDy2S4
1.0
6.901 0.000 0.000
0.000 3.967 0.000
-2.288 0.000 6.607
La Ce Dy S
1 1 2 4
Direct
0.000 0.000 0.000
0.500 0.500 0.000
0.000 0.500 0.500
0.500 0.000 0.500
0.248 0.000 0.735
0.259 0.500 0.268
0.741 0.500 0.732
0.752 0.000 0.265
```

Results
**Mass density**: 6.72 g/cm3
**Density of states at the Fermi level**: 0.9813 states/eV/atom
**Total DFT energy (no corrections)**: -6.627 eV/atom
**Space group**: P2/m


Entry 6:
Density functional theory data (PBE) for a relaxed structure of Rb3HfSe.

POSCAR file:
```
Rb3HfSe
1.0
6.598 0.000 0.000
0.000 6.598 0.000
0.000 0.000 6.598
Rb Hf Se
3 1 1
Direct
0.000 0.000 0.500
0.000 0.500 0.000
0.500 0.000 0.000
0.500 0.500 0.500
0.000 0.000 0.000
```

Results
**Energy relative to the lowest polymorph listed for this composition**: 0.000 eV/atom
**Mass density**: 2.97 g/cm3
**Density of states at the Fermi level**: 2.7668 states/eV/atom
**Space group**: Pm-3m